# Mg2CoNi

A crystal of Mg2CoNi relaxed with PBEsol (meta-GGA SCAN, the Alexandria database).

Computed properties:
E_form ... 0.00 eV per atom
Polymorph energy (0 for the lowest one) ... 0.000 eV per atom

Geometry as POSCAR:
```
Mg2CoNi
1.0
-1.423 2.168 4.517
1.423 -2.168 4.517
1.423 2.168 -4.517
Mg Co Ni
2 1 1
Direct
0.000 0.000 0.000
0.714 0.214 0.500
0.460 0.460 0.000
0.252 0.752 0.500
```